1.
## Tm3AlSi3 (PBE-GGA)

Data for crystalline Tm3AlSi3 at its relaxed geometry.

```
data_Tm3AlSi3
_space_group_name_H-M_alt 'P 1'
_space_group_IT_number 1
_cell_length_a 5.677
_cell_length_b 5.677
_cell_length_c 13.431
_cell_angle_alpha 107.46
_cell_angle_beta 107.46
_cell_angle_gamma 43.06
loop_
_space_group_symop_operation_xyz
'x,y,z'
loop_
_atom_site_label
_atom_site_fract_x
_atom_site_fract_y
_atom_site_fract_z
Tm1 0.015 0.015 0.375
Tm2 0.108 0.108 0.923
Tm3 0.238 0.238 0.224
Tm4 0.762 0.762 0.776
Tm5 0.892 0.892 0.077
Tm6 0.985 0.985 0.625
Al1 0.266 0.266 0.611
Al2 0.734 0.734 0.389
Si1 0.372 0.372 0.456
Si2 0.391 0.391 0.925
Si3 0.479 0.479 0.776
Si4 0.521 0.521 0.224
Si5 0.609 0.609 0.075
Si6 0.628 0.628 0.544
```

uncorrected energy = -76.6 eV/cell
symmetry = C2/m, No. 12

***

2.
## TmAlSi (PBE-GGA)

Data for crystalline TmAlSi at its relaxed geometry.

```
data_TmAlSi
_space_group_name_H-M_alt 'P 1'
_space_group_IT_number 1
_cell_length_a 6.974
_cell_length_b 6.974
_cell_length_c 4.041
_cell_angle_alpha 90.00
_cell_angle_beta 90.00
_cell_angle_gamma 120.00
loop_
_space_group_symop_operation_xyz
'x,y,z'
loop_
_atom_site_label
_atom_site_fract_x
_atom_site_fract_y
_atom_site_fract_z
Tm1 0.000 0.608 0.000
Tm2 0.392 0.392 0.000
Tm3 0.608 0.000 0.000
Al1 0.000 0.257 0.500
Al2 0.257 0.000 0.500
Al3 0.743 0.743 0.500
Si1 0.000 0.000 0.000
Si2 0.333 0.667 0.500
Si3 0.667 0.333 0.500
```

uncorrected energy = -45.8 eV/cell
symmetry = P-62m, No. 189

***

3.
## TmAlSi (PBE-GGA)

Data for crystalline TmAlSi at its relaxed geometry.

```
data_TmAlSi
_space_group_name_H-M_alt 'P 1'
_space_group_IT_number 1
_cell_length_a 6.606
_cell_length_b 6.606
_cell_length_c 6.606
_cell_angle_alpha 90.00
_cell_angle_beta 90.00
_cell_angle_gamma 90.00
loop_
_space_group_symop_operation_xyz
'x,y,z'
loop_
_atom_site_label
_atom_site_fract_x
_atom_site_fract_y
_atom_site_fract_z
Tm1 0.000 0.000 0.000
Tm2 0.000 0.500 0.500
Tm3 0.500 0.000 0.500
Tm4 0.500 0.500 0.000
Al1 0.250 0.250 0.750
Al2 0.250 0.750 0.250
Al3 0.750 0.250 0.250
Al4 0.750 0.750 0.750
Si1 0.250 0.250 0.250
Si2 0.250 0.750 0.750
Si3 0.750 0.250 0.750
Si4 0.750 0.750 0.250
```

uncorrected energy = -53.0 eV/cell
symmetry = F-43m, No. 216

***

4.
## Tm2AlSi (PBE-GGA)

Data for crystalline Tm2AlSi at its relaxed geometry.

```
data_Tm2AlSi
_space_group_name_H-M_alt 'P 1'
_space_group_IT_number 1
_cell_length_a 3.932
_cell_length_b 4.283
_cell_length_c 10.642
_cell_angle_alpha 90.00
_cell_angle_beta 90.00
_cell_angle_gamma 90.00
loop_
_space_group_symop_operation_xyz
'x,y,z'
loop_
_atom_site_label
_atom_site_fract_x
_atom_site_fract_y
_atom_site_fract_z
Tm1 0.000 0.000 0.000
Tm2 0.000 0.500 0.500
Tm3 0.500 0.000 0.282
Tm4 0.500 0.500 0.782
Al1 0.000 0.000 0.714
Al2 0.000 0.500 0.214
Si1 0.500 0.000 0.563
Si2 0.500 0.500 0.063
```

uncorrected energy = -41.3 eV/cell
symmetry = Amm2, No. 38

***

5.
## YTmAl3Si2 (PBE-GGA)

Data for crystalline YTmAl3Si2 at its relaxed geometry.

```
data_YTmAl3Si2
_space_group_name_H-M_alt 'P 1'
_space_group_IT_number 1
_cell_length_a 10.121
_cell_length_b 4.032
_cell_length_c 6.594
_cell_angle_alpha 90.00
_cell_angle_beta 100.86
_cell_angle_gamma 90.00
loop_
_space_group_symop_operation_xyz
'x,y,z'
loop_
_atom_site_label
_atom_site_fract_x
_atom_site_fract_y
_atom_site_fract_z
Y1 0.000 0.000 0.000
Y2 0.500 0.500 0.000
Tm1 0.261 0.500 0.355
Tm2 0.761 0.000 0.355
Al1 0.076 0.000 0.543
Al2 0.186 0.500 0.809
Al3 0.379 0.000 0.676
Al4 0.576 0.500 0.543
Al5 0.686 0.000 0.809
Al6 0.879 0.500 0.676
Si1 0.287 0.000 0.039
Si2 0.473 0.000 0.319
Si3 0.787 0.500 0.039
Si4 0.973 0.500 0.319
```

uncorrected energy = -73.6 eV/cell
symmetry = Cm, No. 8

***

6.
## UAlSi (PBE-GGA)

Data for crystalline UAlSi at its relaxed geometry.

```
data_UAlSi
_space_group_name_H-M_alt 'P 1'
_space_group_IT_number 1
_cell_length_a 6.317
_cell_length_b 6.317
_cell_length_c 6.317
_cell_angle_alpha 90.00
_cell_angle_beta 90.00
_cell_angle_gamma 90.00
loop_
_space_group_symop_operation_xyz
'x,y,z'
loop_
_atom_site_label
_atom_site_fract_x
_atom_site_fract_y
_atom_site_fract_z
U1 0.000 0.000 0.000
U2 0.000 0.500 0.500
U3 0.500 0.000 0.500
U4 0.500 0.500 0.000
Al1 0.250 0.250 0.750
Al2 0.250 0.750 0.250
Al3 0.750 0.250 0.250
Al4 0.750 0.750 0.750
Si1 0.000 0.000 0.500
Si2 0.000 0.500 0.000
Si3 0.500 0.000 0.000
Si4 0.500 0.500 0.500
```

uncorrected energy = -77.1 eV/cell
symmetry = F-43m, No. 216

***

7.
## UAlSi (PBE-GGA)

Data for crystalline UAlSi at its relaxed geometry.

```
data_UAlSi
_space_group_name_H-M_alt 'P 1'
_space_group_IT_number 1
_cell_length_a 6.325
_cell_length_b 6.325
_cell_length_c 6.325
_cell_angle_alpha 90.00
_cell_angle_beta 90.00
_cell_angle_gamma 90.00
loop_
_space_group_symop_operation_xyz
'x,y,z'
loop_
_atom_site_label
_atom_site_fract_x
_atom_site_fract_y
_atom_site_fract_z
U1 0.000 0.000 0.000
U2 0.000 0.500 0.500
U3 0.500 0.000 0.500
U4 0.500 0.500 0.000
Al1 0.000 0.000 0.500
Al2 0.000 0.500 0.000
Al3 0.500 0.000 0.000
Al4 0.500 0.500 0.500
Si1 0.250 0.250 0.750
Si2 0.250 0.750 0.250
Si3 0.750 0.250 0.250
Si4 0.750 0.750 0.750
```

uncorrected energy = -79.9 eV/cell
symmetry = F-43m, No. 216

***

8.
## UAlSi (PBE-GGA)

Data for crystalline UAlSi at its relaxed geometry.

```
data_UAlSi
_space_group_name_H-M_alt 'P 1'
_space_group_IT_number 1
_cell_length_a 6.553
_cell_length_b 6.553
_cell_length_c 6.553
_cell_angle_alpha 90.00
_cell_angle_beta 90.00
_cell_angle_gamma 90.00
loop_
_space_group_symop_operation_xyz
'x,y,z'
loop_
_atom_site_label
_atom_site_fract_x
_atom_site_fract_y
_atom_site_fract_z
U1 0.000 0.000 0.000
U2 0.000 0.500 0.500
U3 0.500 0.000 0.500
U4 0.500 0.500 0.000
Al1 0.250 0.250 0.750
Al2 0.250 0.750 0.250
Al3 0.750 0.250 0.250
Al4 0.750 0.750 0.750
Si1 0.250 0.250 0.250
Si2 0.250 0.750 0.750
Si3 0.750 0.250 0.750
Si4 0.750 0.750 0.250
```

uncorrected energy = -75.3 eV/cell
symmetry = F-43m, No. 216

***

9.
## U4Al7Si5 (PBE-GGA)

Data for crystalline U4Al7Si5 at its relaxed geometry.

```
data_U4Al7Si5
_space_group_name_H-M_alt 'P 1'
_space_group_IT_number 1
_cell_length_a 10.262
_cell_length_b 10.262
_cell_length_c 10.262
_cell_angle_alpha 132.84
_cell_angle_beta 132.84
_cell_angle_gamma 68.91
loop_
_space_group_symop_operation_xyz
'x,y,z'
loop_
_atom_site_label
_atom_site_fract_x
_atom_site_fract_y
_atom_site_fract_z
U1 0.118 0.118 0.476
U2 0.118 0.642 0.000
U3 0.358 0.358 0.476
U4 0.358 0.882 0.000
U5 0.642 0.118 0.000
U6 0.642 0.642 0.524
U7 0.882 0.358 0.000
U8 0.882 0.882 0.524
Al1 0.003 0.255 0.749
Al2 0.249 0.500 0.749
Al3 0.255 0.003 0.749
Al4 0.255 0.506 0.251
Al5 0.377 0.377 0.000
Al6 0.494 0.745 0.749
Al7 0.500 0.249 0.749
Al8 0.500 0.751 0.251
Al9 0.506 0.255 0.251
Al10 0.623 0.623 0.000
Al11 0.745 0.494 0.749
Al12 0.745 0.997 0.251
Al13 0.751 0.500 0.251
Al14 0.997 0.745 0.251
Si1 0.000 0.256 0.256
Si2 0.000 0.744 0.744
Si3 0.127 0.627 0.500
Si4 0.138 0.138 0.000
Si5 0.256 0.000 0.256
Si6 0.373 0.873 0.500
Si7 0.627 0.127 0.500
Si8 0.744 0.000 0.744
Si9 0.862 0.862 0.000
Si10 0.873 0.373 0.500
```

uncorrected energy = -205.0 eV/cell
symmetry = I4/mmm, No. 139

***

10.
## Al2SiW2 (PBE-GGA)

Data for crystalline Al2SiW2 at its relaxed geometry.

```
data_Al2SiW2
_space_group_name_H-M_alt 'P 1'
_space_group_IT_number 1
_cell_length_a 3.695
_cell_length_b 3.695
_cell_length_c 13.046
_cell_angle_alpha 90.00
_cell_angle_beta 90.00
_cell_angle_gamma 90.00
loop_
_space_group_symop_operation_xyz
'x,y,z'
loop_
_atom_site_label
_atom_site_fract_x
_atom_site_fract_y
_atom_site_fract_z
Al1 0.000 0.000 0.097
Al2 0.000 0.000 0.903
Al3 0.500 0.500 0.403
Al4 0.500 0.500 0.597
Si1 0.000 0.000 0.500
Si2 0.500 0.500 0.000
W1 0.000 0.500 0.250
W2 0.000 0.500 0.750
W3 0.500 0.000 0.250
W4 0.500 0.000 0.750
```

uncorrected energy = -71.5 eV/cell
symmetry = I4/mmm, No. 139

***

11.
## Al2ZnSi (PBE-GGA)

Data for crystalline Al2ZnSi at its relaxed geometry.

```
data_Al2ZnSi
_space_group_name_H-M_alt 'P 1'
_space_group_IT_number 1
_cell_length_a 6.395
_cell_length_b 6.395
_cell_length_c 6.395
_cell_angle_alpha 90.00
_cell_angle_beta 90.00
_cell_angle_gamma 90.00
loop_
_space_group_symop_operation_xyz
'x,y,z'
loop_
_atom_site_label
_atom_site_fract_x
_atom_site_fract_y
_atom_site_fract_z
Al1 0.000 0.000 0.000
Al2 0.000 0.500 0.500
Al3 0.250 0.250 0.250
Al4 0.250 0.750 0.750
Al5 0.500 0.000 0.500
Al6 0.500 0.500 0.000
Al7 0.750 0.250 0.750
Al8 0.750 0.750 0.250
Zn1 0.250 0.250 0.750
Zn2 0.250 0.750 0.250
Zn3 0.750 0.250 0.250
Zn4 0.750 0.750 0.750
Si1 0.000 0.000 0.500
Si2 0.000 0.500 0.000
Si3 0.500 0.000 0.000
Si4 0.500 0.500 0.500
```

uncorrected energy = -52.7 eV/cell
symmetry = F-43m, No. 216

***

12.
## ZrAl2Si (PBE-GGA)

Data for crystalline ZrAl2Si at its relaxed geometry.

```
data_ZrAl2Si
_space_group_name_H-M_alt 'P 1'
_space_group_IT_number 1
_cell_length_a 6.563
_cell_length_b 6.563
_cell_length_c 6.563
_cell_angle_alpha 90.00
_cell_angle_beta 90.00
_cell_angle_gamma 90.00
loop_
_space_group_symop_operation_xyz
'x,y,z'
loop_
_atom_site_label
_atom_site_fract_x
_atom_site_fract_y
_atom_site_fract_z
Zr1 0.000 0.000 0.000
Zr2 0.000 0.500 0.500
Zr3 0.500 0.000 0.500
Zr4 0.500 0.500 0.000
Al1 0.000 0.000 0.500
Al2 0.000 0.500 0.000
Al3 0.250 0.250 0.250
Al4 0.250 0.750 0.750
Al5 0.500 0.000 0.000
Al6 0.500 0.500 0.500
Al7 0.750 0.250 0.750
Al8 0.750 0.750 0.250
Si1 0.250 0.250 0.750
Si2 0.250 0.750 0.250
Si3 0.750 0.250 0.250
Si4 0.750 0.750 0.750
```

uncorrected energy = -84.7 eV/cell
symmetry = F-43m, No. 216